Computed, not measured: an optimized crystal structure of Pa2Co5Ge3H2 at the GGA-PBE level of DFT.

Summary:
- D(E_F) (states/eV/f.u.) = 13.7
- calculated total energy (eV per atom) = -6.476

extended XYZ file:
```
12
Lattice="3.913 0.000 0.000 0.000 3.913 0.000 -1.957 -1.957 10.230" Properties=species:S:1:pos:R:3 pbc="T T T"
Co 1.957 0.000 1.610
Co 0.000 1.957 1.610
Co 0.000 1.957 8.620
Co 1.957 1.957 0.000
Co 1.957 0.000 8.620
Ge 1.957 1.957 7.119
Ge 0.000 0.000 0.000
Ge 0.000 0.000 3.111
Pa 0.000 0.000 6.187
Pa 1.957 1.957 4.043
H 0.000 0.000 8.583
H 1.957 1.957 1.647
```